# 1
A relaxed ErAl2GaNi2 crystal. Source: Alexandria via LeMat-Bulk, functional PBE-GGA.

Structure (CIF):
```
data_ErAl2GaNi2
_symmetry_space_group_name_H-M 'P 4/m m m'
_symmetry_Int_Tables_number 123
_symmetry_space_group_name_Hall '-P 4 2'
_cell_length_a 4.357
_cell_length_b 4.357
_cell_length_c 5.514
_cell_angle_alpha 90.00
_cell_angle_beta 90.00
_cell_angle_gamma 90.00
loop_
_atom_site_label
_atom_site_type_symbol
_atom_site_fract_x
_atom_site_fract_y
_atom_site_fract_z
Er1 Er 0.000 0.000 0.000
Al1 Al 0.500 0.500 0.247
Ga1 Ga 0.000 0.000 0.500
Ni1 Ni 0.000 0.500 0.500
```

# 2
# Ca2Pu4Sb3O2 | Alexandria via LeMat-Bulk | PBE-GGA | optimized geometry
data_Ca2Pu4Sb3O2
_symmetry_space_group_name_H-M 'I 4/m m m'
_symmetry_Int_Tables_number 139
_symmetry_space_group_name_Hall '-I 4 2'
_cell_length_a 4.723
_cell_length_b 4.723
_cell_length_c 25.541
_cell_angle_alpha 90.00
_cell_angle_beta 90.00
_cell_angle_gamma 90.00
loop_
_atom_site_label
_atom_site_type_symbol
_atom_site_fract_x
_atom_site_fract_y
_atom_site_fract_z
Ca1 Ca 0.000 0.000 0.197
Pu1 Pu 0.000 0.500 0.086
Sb1 Sb 0.000 0.000 0.323
Sb2 Sb 0.000 0.000 0.500
O1 O 0.000 0.000 0.103
# - Uncorrected formation energy: -1.436 eV per atom

no.,M_tot (Bohr magnetons per cell),density (g/cm³),total DFT energy (no corrections) (eV per cell)
1,0.00,6.48,-28.40
2,45.87,8.47,-198.82